1.
First-principles (PBE with a Hubbard U) data for CsTeWO6 after structural relaxation, as listed in Alexandria via LeMat-Bulk.

Computed properties:
The calculation puts the density of states at the Fermi level at 1.1 states/eV/f.u. As for the space group: Imma (74). As for the total DFT energy (no corrections): -6.19 eV/atom. The spin magnetization comes out at 0.00 μB per atom.

Lattice parameters (Å, degrees): 7.4719 7.5274 7.5022 120.11 119.87 90.00
Fractional coordinates of all 18 atoms:
O (0.8252, 0.0640, 0.2565)
W (0.0000, 0.0000, 0.5000)
O (0.4313, 0.0640, 0.2565)
W (0.5000, 0.0000, 0.5000)
O (0.8052, 0.0552, 0.6104)
O (0.5687, 0.9360, 0.7435)
Cs (0.1244, 0.3744, 0.2488)
O (0.5687, 0.3075, 0.7435)
Te (0.5000, 0.0000, 0.0000)
Te (0.5000, 0.5000, 0.0000)
O (0.5689, 0.3189, 0.1379)
Cs (0.8756, 0.6256, 0.7512)
O (0.4313, 0.6925, 0.2565)
O (0.1748, 0.9360, 0.7435)
O (0.1948, 0.9448, 0.3896)
O (0.1748, 0.3075, 0.7435)
O (0.8252, 0.6925, 0.2565)
O (0.4311, 0.6811, 0.8621)

---

2.
First-principles (PBE with a Hubbard U) data for CsTe2WO8 after structural relaxation, as listed in Alexandria via LeMat-Bulk.

Computed properties:
The calculation puts the density of states at the Fermi level at 4.9 states/eV/f.u. As for the space group: P-3 (147). As for the total DFT energy (no corrections): -5.81 eV/atom. The spin magnetization comes out at 0.00 μB per atom.

Lattice parameters (Å, degrees): 5.8478 5.8478 8.5040 90.00 90.00 120.00
Fractional coordinates of all 12 atoms:
O (0.3333, 0.6667, 0.8707)
O (0.2840, 0.2590, 0.3668)
Te (0.3333, 0.6667, 0.6580)
O (0.0250, 0.2840, 0.6332)
O (0.9750, 0.7160, 0.3668)
O (0.7410, 0.0250, 0.3668)
O (0.7160, 0.7410, 0.6332)
O (0.6667, 0.3333, 0.1293)
W (0.0000, 0.0000, 0.5000)
Cs (0.0000, 0.0000, 0.0000)
O (0.2590, 0.9750, 0.6332)
Te (0.6667, 0.3333, 0.3420)